A relaxed structure of BaSrCaFeO6. Source: Alexandria, functional PBE+U.

The value obtained for the energy is -60.9 eV per formula unit. The density of states at the Fermi level is 4.525 states/eV/f.u.

It has space group F-43m (No. 216), with a = 8.258 Å, b = 8.258 Å, c = 8.258 Å, α = 90.00°, β = 90.00° and γ = 90.00°. The asymmetric unit holds Ba at (0.000, 0.000, 0.000), Sr at (0.000, 0.000, 0.500), Ca at (0.250, 0.250, 0.250), Fe at (0.250, 0.250, 0.750) and O at (0.023, 0.250, 0.750).